No. 1
# MgTiPd6 PBE optimized geometry
data_MgTiPd6
_chemical_formula_sum 'Mg1 Ti1 Pd6'
_cell_length_a 5.055
_cell_length_b 5.064
_cell_length_c 5.064
_cell_angle_alpha 94.25
_cell_angle_beta 94.13
_cell_angle_gamma 94.11
_space_group_name_H-M_alt 'P -1'
_space_group_IT_number 2
_space_group_name_Hall '-P 1'
loop_
_atom_site_label
_atom_site_type_symbol
_atom_site_fract_x
_atom_site_fract_y
_atom_site_fract_z
Mg1 Mg 0.000 0.000 0.000
Ti1 Ti 0.500 0.500 0.500
Pd1 Pd 0.049 0.463 0.750
Pd2 Pd 0.250 0.949 0.537
Pd3 Pd 0.463 0.750 0.050
# Energy of formation in meV/atom: -423
# Theoretical density in g cm⁻³: 9.18
# Energy above the lowest structure with this stoichiometry in eV per atom: 0.157
# Total magnetic moment in μB/f.u.: 0.00

---

No. 2
# BePb2W PBE optimized geometry
data_BePb2W
_chemical_formula_sum 'Be3 Pb6 W3'
_cell_length_a 3.3563
_cell_length_b 3.3563
_cell_length_c 24.5976
_cell_angle_alpha 90.00
_cell_angle_beta 90.00
_cell_angle_gamma 120.00
_space_group_name_H-M_alt 'R -3 m'
_space_group_IT_number 166
_space_group_name_Hall '-R 3 2"'
loop_
_atom_site_label
_atom_site_type_symbol
_atom_site_fract_x
_atom_site_fract_y
_atom_site_fract_z
Be1 Be 0.0000 0.0000 0.0000
Pb1 Pb 0.0000 0.0000 0.2558
W1 W 0.0000 0.0000 0.5000
# Energy of formation in meV/atom: 1010
# Theoretical density in g cm⁻³: 12.61
# Total magnetic moment in μB/f.u.: 0.00

---

No. 3
# Zr3TaRe PBE optimized geometry
data_Zr3TaRe
_chemical_formula_sum 'Zr3 Ta1 Re1'
_cell_length_a 5.001
_cell_length_b 5.001
_cell_length_c 5.001
_cell_angle_alpha 90.00
_cell_angle_beta 90.00
_cell_angle_gamma 90.00
_space_group_name_H-M_alt 'P m -3 m'
_space_group_IT_number 221
_space_group_name_Hall '-P 4 2 3'
loop_
_atom_site_label
_atom_site_type_symbol
_atom_site_fract_x
_atom_site_fract_y
_atom_site_fract_z
Zr1 Zr 0.000 0.000 0.500
Ta1 Ta 0.500 0.500 0.500
Re1 Re 0.000 0.000 0.000
# Energy of formation in meV/atom: 969
# Theoretical density in g cm⁻³: 8.51
# Energy above the lowest structure with this stoichiometry in eV per atom: 0.000
# Total magnetic moment in μB/f.u.: 0.00

---

No. 4
# PuMn2Fe2 PBE optimized geometry
data_PuMn2Fe2
_chemical_formula_sum 'Pu4 Mn8 Fe8'
_cell_length_a 25.354
_cell_length_b 2.933
_cell_length_c 3.945
_cell_angle_alpha 90.00
_cell_angle_beta 98.84
_cell_angle_gamma 90.00
_space_group_name_H-M_alt 'C 1 2/m 1'
_space_group_IT_number 12
_space_group_name_Hall '-C 2y'
loop_
_atom_site_label
_atom_site_type_symbol
_atom_site_fract_x
_atom_site_fract_y
_atom_site_fract_z
Pu1 Pu 0.120 0.000 0.119
Mn1 Mn 0.000 0.000 0.500
Mn2 Mn 0.000 0.500 0.000
Mn3 Mn 0.181 0.500 0.680
Fe1 Fe 0.075 0.500 0.573
Fe2 Fe 0.242 0.500 0.241
# Energy of formation in meV/atom: 242
# Theoretical density in g cm⁻³: 10.67
# Total magnetic moment in μB/f.u.: 3.38

---

No. 5
# TlCr3Ag PBE optimized geometry
data_TlCr3Ag
_chemical_formula_sum 'Tl1 Cr3 Ag1'
_cell_length_a 5.074
_cell_length_b 5.074
_cell_length_c 5.074
_cell_angle_alpha 90.00
_cell_angle_beta 90.00
_cell_angle_gamma 90.00
_space_group_name_H-M_alt 'P m -3 m'
_space_group_IT_number 221
_space_group_name_Hall '-P 4 2 3'
loop_
_atom_site_label
_atom_site_type_symbol
_atom_site_fract_x
_atom_site_fract_y
_atom_site_fract_z
Tl1 Tl 0.000 0.000 0.000
Cr1 Cr 0.000 0.500 0.500
Ag1 Ag 0.500 0.500 0.500
# Energy of formation in meV/atom: 1382
# Theoretical density in g cm⁻³: 5.95
# Energy above the lowest structure with this stoichiometry in eV per atom: 0.000
# Total magnetic moment in μB/f.u.: 13.77

---

No. 6
# TcBr PBE optimized geometry
data_TcBr
_chemical_formula_sum 'Tc4 Br4'
_cell_length_a 5.621
_cell_length_b 5.621
_cell_length_c 5.621
_cell_angle_alpha 90.00
_cell_angle_beta 90.00
_cell_angle_gamma 90.00
_space_group_name_H-M_alt 'F -4 3 m'
_space_group_IT_number 216
_space_group_name_Hall 'F -4 2 3'
loop_
_atom_site_label
_atom_site_type_symbol
_atom_site_fract_x
_atom_site_fract_y
_atom_site_fract_z
Tc1 Tc 0.000 0.000 0.000
Br1 Br 0.250 0.250 0.250
# Theoretical density in g cm⁻³: 6.65
# Uncorrected formation energy in meV per atom: 1166.1
# Energy above the lowest structure with this stoichiometry in eV per atom: 1.123
# Total magnetic moment in μB/f.u.: 0.00

---

| no. | DOS at the Fermi energy (states/eV/cell) | electronic total energy (eV per atom) |
| --- | --- | --- |
| 1 | 5.05 | -5.5038 |
| 2 | 8.94 | -5.0142 |
| 3 | 5.99 | -9.0204 |
| 4 | 31.86 | -9.6777 |
| 5 | 8.23 | -5.4355 |
| 6 | 6.05 | -4.8533 |